Below is a relaxed structure of Ac4Br3N2, with properties calculated at the PBE level.

Geometry as POSCAR:
```
Ac4Br3N2
1.0
7.9299 -1.8824 0.0000
7.9299 1.8824 0.0000
-2.1473 0.0000 8.9182
Ac Br N
4 3 2
Direct
0.0941 0.0941 0.2180 Ac
0.3179 0.3179 0.3952 Ac
0.6821 0.6821 0.6048 Ac
0.9059 0.9059 0.7820 Ac
0.0000 0.0000 0.5000 Br
0.4093 0.4093 0.0947 Br
0.5907 0.5907 0.9053 Br
0.3036 0.3036 0.6799 N
0.6964 0.6964 0.3201 N
```

Properties
E_tot   -5.57 eV/atom
Relative energy among the computed polymorphs   101.9 meV/atom
DOS(E_F)   3.85 states/eV/f.u.
Symmetry   C2/m (12)